--- 1 ---
Compound: Cs5I4F
Source: Alexandria
Functional: PBE
Structure: relaxed

Summary:
Total magnetization = 0.00 μB per formula unit
DOS at the Fermi energy = 0.0 states/eV/f.u.
Space-group type = I4 (79)

Geometry as POSCAR:
```
Cs5I4F
1.0
7.791 0.000 0.000
3.895 8.326 0.000
3.895 0.000 8.326
I Cs F
4 5 1
Cartesian
7.836 3.248 6.551
3.940 1.776 3.248
11.731 6.551 5.078
7.836 5.078 1.776
11.703 2.910 6.878
7.808 6.878 5.417
3.912 5.417 1.448
7.808 1.448 2.910
3.282 0.000 0.000
0.445 0.000 0.000
```

--- 2 ---
Compound: Cs5I4F
Source: Alexandria
Functional: PBE
Structure: relaxed

Summary:
Total magnetization = 0.00 μB per formula unit
DOS at the Fermi energy = 0.0 states/eV/f.u.
Space-group type = I4/mmm (139)

Geometry as POSCAR:
```
Cs5I4F
1.0
0.430 -1.501 5.946
8.732 -3.789 1.589
3.492 7.584 4.839
I F Cs
4 1 5
Cartesian
3.526 0.738 3.102
5.178 3.642 6.893
9.128 1.559 9.260
7.476 -1.345 5.468
0.430 -1.499 5.940
3.316 -2.529 5.470
10.272 -2.464 8.161
2.381 4.761 4.201
9.337 4.826 6.891
0.215 -0.749 2.967
```

Most stable structure: 1

--- 1 ---
Compound: Cs2KIF6
Source: Alexandria
Functional: PBE
Structure: relaxed

Summary:
Total magnetization = 2.00 μB per formula unit
DOS at the Fermi energy = 0.0 states/eV/f.u.
Space-group type = I4/mmm (139)

Geometry as POSCAR:
```
Cs2KIF6
1.0
7.145 0.000 0.000
0.000 7.145 0.000
3.573 3.573 4.625
F K I Cs
6 1 1 2
Cartesian
5.385 5.385 0.000
7.145 7.145 2.050
3.573 3.573 2.574
1.760 5.385 0.000
1.760 1.760 0.000
5.385 1.760 0.000
3.573 3.573 0.000
0.000 0.000 0.000
3.573 7.145 2.312
7.145 3.573 2.312
```

--- 2 ---
Compound: Cs2KIF6
Source: Alexandria
Functional: PBE
Structure: relaxed

Summary:
Total magnetization = 0.17 μB per formula unit
DOS at the Fermi energy = 0.0 states/eV/f.u.
Space-group type = P-1 (2)

Geometry as POSCAR:
```
Cs2KIF6
1.0
7.940 -0.919 1.405
3.286 5.328 0.194
4.732 0.977 6.041
F K Cs I
6 1 2 1
Cartesian
6.589 0.024 3.110
5.727 3.842 4.565
10.235 3.528 6.723
2.083 0.340 0.954
9.451 0.832 5.959
10.807 2.115 3.122
11.771 4.138 4.638
7.787 2.789 2.697
4.530 1.075 4.979
3.793 1.445 0.817
```

Most stable structure: 2

--- 1 ---
Compound: CsIOF2
Source: Alexandria
Functional: PBE
Structure: relaxed

Summary:
Total magnetization = 0.00 μB per formula unit
DOS at the Fermi energy = 2.4 states/eV/f.u.
Space-group type = P4/mmm (123)

Geometry as POSCAR:
```
CsIOF2
1.0
5.109 0.000 0.000
0.000 5.109 0.000
0.000 0.000 4.091
F O Cs I
2 1 1 1
Cartesian
0.000 2.555 0.000
2.555 0.000 0.000
0.000 0.000 2.046
2.555 2.555 2.046
0.000 0.000 0.000
```

--- 2 ---
Compound: CsIOF2
Source: Alexandria
Functional: PBE
Structure: relaxed

Summary:
Total magnetization = 2.90 μB per formula unit
DOS at the Fermi energy = 4.1 states/eV/f.u.
Space-group type = P4/mmm (123)

Geometry as POSCAR:
```
CsIOF2
1.0
-4.931 1.543 -0.699
-0.761 -0.098 5.157
1.368 4.501 0.288
I Cs F O
1 1 2 1
Cartesian
-2.162 2.973 2.373
0.000 0.000 0.000
-0.381 -0.049 2.579
-2.465 0.772 -0.349
0.684 2.250 0.144
```

Most stable structure: 1

--- 1 ---
Compound: Cs2RbIF6
Source: Alexandria
Functional: PBE
Structure: relaxed

Summary:
Total magnetization = 2.00 μB per formula unit
DOS at the Fermi energy = 0.0 states/eV/f.u.
Space-group type = I4/mmm (139)

Geometry as POSCAR:
```
Cs2RbIF6
1.0
7.297 0.000 0.000
0.000 7.297 0.000
3.648 3.648 4.729
F Cs Rb I
6 2 1 1
Cartesian
3.648 3.648 2.679
1.759 5.538 0.000
5.538 5.538 0.000
5.538 1.759 0.000
7.297 7.297 2.051
1.759 1.759 0.000
7.297 3.648 2.365
3.648 7.297 2.365
3.648 3.648 0.000
0.000 0.000 0.000
```

--- 2 ---
Compound: Cs2RbIF6
Source: Alexandria
Functional: PBE
Structure: relaxed

Summary:
Total magnetization = 0.15 μB per formula unit
DOS at the Fermi energy = 0.0 states/eV/f.u.
Space-group type = P-1 (2)

Geometry as POSCAR:
```
Cs2RbIF6
1.0
0.149 4.489 -7.337
-5.491 -0.059 -3.029
-2.396 7.287 -3.092
F I Cs Rb
6 1 2 1
Cartesian
-3.105 2.280 -4.936
-5.025 5.393 -4.288
-2.637 9.095 -7.841
-3.236 6.232 -9.465
-0.994 5.446 -5.674
-0.518 1.273 -1.939
-1.812 1.776 -3.437
-3.723 4.669 -6.806
-2.299 6.171 -3.158
-5.681 7.635 -10.165
```

Most stable structure: 2